Computed, not measured: a relaxed structure of Mo2HPdI at the PBE level of DFT.

Results
Space group: No. 123
Crystal system: tetragonal
E (eV per atom): -4.763

a b c (Å): 5.1345 5.1345 3.2653
angles (deg): 90.00 90.00 90.00
Closest atoms and distances in Å follow each position.
Sites, in units of the cell vectors:
Mo 0.0000 0.5000 0.0000  2 I 2.57
Mo 0.5000 0.0000 0.0000  2 I 2.57
H 0.0000 0.0000 0.5000  2 I 1.63
Pd 0.5000 0.5000 0.5000  8 Mo 3.04, 2 Pd 3.27
I 0.0000 0.0000 0.0000  2 H 1.63

Computed, not measured: a relaxed structure of Rb2MoHI6 at the PBE level of DFT.

Results
Space group: No. 139
Crystal system: tetragonal
E (eV per atom): -3.105

a b c (Å): 8.0189 8.0189 8.0189
angles (deg): 111.32 111.32 105.84
Closest atoms and distances in Å follow each position.
Sites, in units of the cell vectors:
Rb 0.2500 0.7500 0.5000  8 I 4.03
Rb 0.7500 0.2500 0.5000  8 I 4.03
Mo 0.0000 0.0000 0.0000  6 I 2.79-2.93
H 0.5000 0.5000 0.0000  2 I 1.91
I 0.2181 0.2181 0.4362  1 Mo 2.79
I 0.2181 0.7819 0.0000  1 Mo 2.79
I 0.3029 0.3029 0.0000  1 H 1.91
I 0.6971 0.6971 0.0000  1 H 1.91
I 0.7819 0.2181 0.0000  1 Mo 2.79
I 0.7819 0.7819 0.5638  1 Mo 2.79

Computed, not measured: a relaxed structure of ReMoH2I at the PBE level of DFT.

Results
Space group: No. 123
Crystal system: tetragonal
E (eV per atom): -5.290

a b c (Å): 3.8775 3.8775 5.0233
angles (deg): 90.00 90.00 90.00
Closest atoms and distances in Å follow each position.
Sites, in units of the cell vectors:
Re 0.0000 0.0000 0.0000  4 H 1.94
Mo 0.0000 0.0000 0.5000  2 Re 2.51, 4 I 2.74
H 0.0000 0.5000 0.0000  2 Re 1.94
H 0.5000 0.0000 0.0000  2 Re 1.94
I 0.5000 0.5000 0.5000  4 Mo 2.74

Computed, not measured: a relaxed structure of Mo2HRhI at the PBE level of DFT.

Results
Space group: No. 123
Crystal system: tetragonal
E (eV per atom): -4.797

a b c (Å): 4.8452 4.8452 5.5298
angles (deg): 90.00 90.00 90.00
Closest atoms and distances in Å follow each position.
Sites, in units of the cell vectors:
Mo 0.0000 0.5000 0.0000  2 Rh 2.42
Mo 0.5000 0.0000 0.0000  2 Rh 2.42
H 0.0000 0.0000 0.5000  4 I 3.43, 8 Mo 3.68
Rh 0.5000 0.5000 0.0000  4 Mo 2.42
I 0.5000 0.5000 0.5000  2 Rh 2.76

Computed, not measured: a relaxed structure of Sb2MoHI at the PBE level of DFT.

Results
Space group: No. 123
Polymorph energy (0 for the lowest one) (kJ/mol of formula units): 32.9
Crystal system: tetragonal

a b c (Å): 4.4133 4.4133 5.6152
angles (deg): 90.00 90.00 90.00
Closest atoms and distances in Å follow each position.
Sites, in units of the cell vectors:
Sb 0.0000 0.5000 0.0000  2 H 2.21
Sb 0.5000 0.0000 0.0000  2 H 2.21
Mo 0.0000 0.0000 0.5000  4 I 3.12
H 0.5000 0.5000 0.0000  4 Sb 2.21
I 0.5000 0.5000 0.5000  2 H 2.81, 4 Mo 3.12

Computed, not measured: a relaxed structure of Sb2MoHI at the PBE level of DFT.

Results
Space group: No. 123
Polymorph energy (0 for the lowest one) (kJ/mol of formula units): 0.0
Crystal system: tetragonal

a b c (Å): 5.1730 5.1730 5.9658
angles (deg): 90.00 90.00 90.00
Closest atoms and distances in Å follow each position.
Sites, in units of the cell vectors:
Sb 0.0000 0.5000 0.0000  2 Mo 2.59
Sb 0.5000 0.0000 0.0000  2 Mo 2.59
Mo 0.0000 0.0000 0.0000  4 Sb 2.59
H 0.5000 0.5000 0.5000  4 I 3.66, 8 Sb 3.95
I 0.0000 0.0000 0.5000  2 Mo 2.98

Computed, not measured: a relaxed structure of ScMoH2I at the PBE level of DFT.

Results
Space group: No. 123
Crystal system: tetragonal
E (eV per atom): -3.996

a b c (Å): 3.9356 3.9356 5.4684
angles (deg): 90.00 90.00 90.00
Closest atoms and distances in Å follow each position.
Sites, in units of the cell vectors:
Sc 0.0000 0.0000 0.0000  4 Mo 2.78
Mo 0.5000 0.5000 0.0000  2 I 2.73, 4 Sc 2.78
H 0.0000 0.5000 0.5000  2 I 1.97
H 0.5000 0.0000 0.5000  2 I 1.97
I 0.5000 0.5000 0.5000  4 H 1.97

Computed, not measured: a relaxed structure of Mo2HSeI at the PBE level of DFT.

Results
Space group: No. 123
Crystal system: tetragonal
E (eV per atom): -3.604

a b c (Å): 5.2285 5.2285 5.6668
angles (deg): 90.00 90.00 90.00
Closest atoms and distances in Å follow each position.
Sites, in units of the cell vectors:
Mo 0.0000 0.5000 0.0000  2 I 2.61
Mo 0.5000 0.0000 0.0000  2 I 2.61
H 0.0000 0.0000 0.5000  4 Se 3.70, 8 Mo 3.86
Se 0.5000 0.5000 0.5000  2 I 2.83
I 0.5000 0.5000 0.0000  4 Mo 2.61, 2 Se 2.83